Compound: BaMg2W
Source: Alexandria
Functional: PBE
Structure: relaxed

The structure in POSCAR format:
```
BaMg2W
1.0
6.749 -0.019 0.004
3.718 5.632 -0.004
-4.435 -4.296 2.725
Mg Ba W
2 1 1
Cartesian
0.456 0.245 0.000
4.777 2.562 0.000
3.774 -0.754 1.364
2.258 2.072 1.361
```

Summary:
calculated volume	25.9	Å³ per atom
distance to the lowest polymorph of the same formula	0.218	eV per atom
energy of formation from the pure elements	0.836	eV/atom

---

Compound: Ce3PrNd4Se8
Source: Alexandria
Functional: PBE
Structure: relaxed

The structure in POSCAR format:
```
Ce3PrNd4Se8
1.0
8.446 0.000 0.000
0.000 8.456 0.001
-4.223 -4.219 5.975
Ce Nd Se Pr
3 4 8 1
Cartesian
2.111 2.119 2.988
4.223 4.228 0.001
-2.111 2.119 2.988
4.223 0.000 0.000
0.000 0.000 0.000
-2.111 -2.109 2.988
2.111 -2.109 2.988
4.223 4.221 2.981
6.319 2.113 0.011
2.127 2.113 0.011
0.000 4.218 3.000
0.000 0.016 2.996
2.096 2.124 5.966
-2.096 2.124 5.966
4.223 0.019 2.976
0.000 4.228 0.001
```

Summary:
calculated volume	26.7	Å³ per atom
E_form (uncorrected)	-1.838	eV per atom

---

Compound: La2TlPt
Source: Alexandria
Functional: PBE
Structure: relaxed

The structure in POSCAR format:
```
La2TlPt
1.0
3.737 0.000 0.000
0.000 3.735 0.023
0.000 3.694 8.053
Tl La Pt
1 2 1
Cartesian
1.868 5.572 6.057
0.000 3.732 0.302
0.000 3.718 3.760
1.868 1.857 2.019
```

Summary:
calculated volume	28.0	Å³ per atom
distance to the lowest polymorph of the same formula	0.030	eV per atom
energy of formation from the pure elements	-0.758	eV/atom

---

Compound: HgSe
Source: Alexandria
Functional: PBE
Structure: relaxed

The structure in POSCAR format:
```
HgSe
1.0
7.758 -0.064 0.000
-6.849 3.645 0.000
0.000 0.000 4.185
Se Hg
2 2
Cartesian
-0.141 1.942 1.046
1.051 1.639 3.139
-4.016 2.926 1.046
4.925 0.656 3.139
```

Summary:
calculated volume	29.1	Å³ per atom
E_form (uncorrected)	0.111	eV per atom

---

Compound: LaRe2Sb
Source: Alexandria
Functional: PBE
Structure: relaxed

The structure in POSCAR format:
```
LaRe2Sb
1.0
-1.852 -3.785 1.929
2.081 1.025 4.009
-2.957 1.972 1.030
La Re Sb
1 2 1
Cartesian
-0.438 1.499 2.520
0.000 0.000 0.000
0.114 -1.380 2.969
-2.404 -0.907 1.480
```

Summary:
calculated volume	19.9	Å³ per atom
E_form (uncorrected)	0.661	eV per atom

---

Compound: CaTc2Hg
Source: Alexandria
Functional: PBE
Structure: relaxed

The structure in POSCAR format:
```
CaTc2Hg
1.0
-2.429 -2.000 -0.147
1.183 -1.244 -2.631
5.248 -6.499 1.682
Tc Ca Hg
2 1 1
Cartesian
0.189 -2.672 -0.529
1.346 -1.455 -2.458
3.129 -3.759 -0.566
3.737 -6.972 -0.648
```

Summary:
calculated volume	19.6	Å³ per atom
energy of formation from the pure elements	0.127	eV/atom

---

Compound: BaSbRh4
Source: Alexandria
Functional: PBE
Structure: relaxed

The structure in POSCAR format:
```
BaSbRh4
1.0
-1.122 -5.068 -1.711
-0.163 -4.122 3.586
-4.780 -2.321 1.281
Rh Ba Sb
4 1 1
Cartesian
-2.838 -6.837 0.344
-4.643 -5.480 1.820
-2.284 -4.335 1.188
-2.364 -6.369 2.958
0.000 0.000 0.000
-4.548 -8.633 2.367
```

Summary:
calculated volume	19.2	Å³ per atom
E_form (uncorrected)	0.028	eV per atom

---

Compound: Ce2Pt7
Source: Alexandria
Functional: PBE
Structure: relaxed

The structure in POSCAR format:
```
Ce2Pt7
1.0
-0.775 5.358 0.258
-2.290 2.199 4.392
11.105 4.005 7.129
Pt Ce
14 4
Cartesian
-0.388 2.679 0.129
-1.533 3.778 2.325
2.154 6.971 4.321
4.020 5.781 5.889
2.546 4.264 4.191
5.494 7.297 7.588
1.389 5.375 6.410
6.651 6.186 5.369
5.886 4.590 7.458
8.060 6.276 7.748
-0.019 5.286 4.031
1.013 2.768 2.486
-1.145 1.099 2.196
7.027 8.793 9.293
9.317 3.786 6.306
5.753 3.349 4.667
-1.277 7.775 5.473
2.287 8.212 7.112
```

Summary:
calculated volume	19.0	Å³ per atom
energy of formation from the pure elements	-0.853	eV/atom

---

Compound: H2OsN
Source: Alexandria
Functional: PBE
Structure: relaxed

The structure in POSCAR format:
```
H2OsN
1.0
-1.638 -0.018 -3.561
0.191 -3.029 -0.072
-4.940 -0.365 2.274
H N Os
4 2 2
Cartesian
-3.380 -1.720 -0.594
-2.798 -0.207 1.288
-0.233 -1.539 0.115
-1.006 -0.023 -1.695
-4.335 -1.791 -0.154
-1.961 -0.094 -1.255
-3.585 -1.787 1.658
-1.211 -0.090 0.557
```

Summary:
calculated volume	8.1	Å³ per atom
distance to the lowest polymorph of the same formula	0.357	eV per atom

---

Compound: BaAsPb3
Source: Alexandria
Functional: PBE
Structure: relaxed

The structure in POSCAR format:
```
BaAsPb3
1.0
5.715 0.000 0.000
0.000 5.715 0.000
0.000 0.000 5.715
Pb As Ba
3 1 1
Cartesian
2.858 0.000 0.000
0.000 0.000 2.858
0.000 2.858 0.000
0.000 0.000 0.000
2.858 2.858 2.858
```

Summary:
calculated volume	37.3	Å³ per atom
distance to the lowest polymorph of the same formula	0.000	eV per atom
energy of formation from the pure elements	-0.008	eV/atom

---

Compound: NiAsSe2N
Source: Alexandria
Functional: PBE
Structure: relaxed

The structure in POSCAR format:
```
NiAsSe2N
1.0
-0.735 3.420 3.030
0.741 -2.939 3.498
4.360 1.006 -0.078
N As Ni Se
1 1 1 2
Cartesian
2.183 0.744 3.225
2.180 0.503 -0.039
0.000 0.000 0.000
-0.368 1.710 1.515
0.370 -1.470 1.749
```

Summary:
calculated volume	19.2	Å³ per atom
E_form (uncorrected)	1.495	eV per atom
distance to the lowest polymorph of the same formula	0.912	eV per atom

---

Compound: AcPmLuHg
Source: Alexandria
Functional: PBE
Structure: relaxed

The structure in POSCAR format:
```
AcPmLuHg
1.0
-2.854 4.649 1.225
-3.691 -0.010 4.199
1.113 2.805 4.706
Pm Hg Ac Lu
1 1 1 1
Cartesian
-2.716 3.722 5.065
-1.358 1.861 2.532
-4.074 5.582 7.597
0.000 0.000 0.000
```

Summary:
calculated volume	30.9	Å³ per atom
energy of formation from the pure elements	0.063	eV/atom

---

Compound: HfMnVFe
Source: Alexandria
Functional: PBE
Structure: relaxed

The structure in POSCAR format:
```
HfMnVFe
1.0
4.251 0.000 0.000
2.126 3.682 0.000
2.126 1.227 3.471
Hf Mn Fe V
1 1 1 1
Cartesian
2.126 1.227 0.868
0.000 0.000 0.000
4.251 2.454 1.736
6.377 3.682 2.603
```

Summary:
calculated volume	13.6	Å³ per atom
energy of formation from the pure elements	-0.161	eV/atom

---

Compound: PtN
Source: Alexandria
Functional: PBE
Structure: relaxed

The structure in POSCAR format:
```
PtN
1.0
4.428 0.000 0.012
0.000 3.353 0.000
-0.768 0.000 6.812
Pt N
4 4
Cartesian
2.496 1.676 4.563
1.163 1.676 2.261
0.779 0.000 5.667
2.881 0.000 1.157
-0.133 0.000 2.831
-0.517 1.676 6.237
4.177 1.676 0.587
3.793 0.000 3.993
```

Summary:
calculated volume	12.6	Å³ per atom
E_form (uncorrected)	0.628	eV per atom

---

Compound: Ti4HPb2
Source: Alexandria
Functional: PBE
Structure: relaxed

The structure in POSCAR format:
```
Ti4HPb2
1.0
5.794 -0.049 0.000
-0.139 5.793 0.000
-2.827 -2.872 4.029
H Ti Pb
1 4 2
Cartesian
-0.136 5.790 0.000
1.433 1.456 0.000
2.827 2.873 1.987
-0.001 0.001 2.042
4.221 4.288 0.000
-0.070 2.897 2.015
2.897 -0.024 2.015
```

Summary:
calculated volume	19.3	Å³ per atom
distance to the lowest polymorph of the same formula	0.327	eV per atom

---

Compound: Sm2Bi3Rh4
Source: Alexandria
Functional: PBE
Structure: relaxed

The structure in POSCAR format:
```
Sm2Bi3Rh4
1.0
-1.683 2.454 5.512
-6.827 -2.841 -0.820
3.307 -8.276 1.135
Rh Sm Bi
8 4 6
Cartesian
-1.601 -6.106 2.229
-3.602 -2.557 3.597
-1.774 -1.107 1.731
-2.616 0.119 4.487
-5.871 -5.078 0.468
-2.588 -8.782 1.340
-3.429 -7.555 4.096
0.668 -3.585 5.359
-6.571 -2.757 2.780
1.367 -5.906 3.047
-1.669 -5.592 5.539
-3.535 -3.071 0.288
-3.410 -6.431 0.042
0.000 0.000 0.000
-0.952 -3.458 3.028
-4.255 -0.193 2.346
-4.251 -5.204 2.798
-1.793 -2.231 5.784
```

Summary:
calculated volume	21.8	Å³ per atom
energy of formation from the pure elements	-0.493	eV/atom

---

Compound: PaVRu2
Source: Alexandria
Functional: PBE
Structure: relaxed

The structure in POSCAR format:
```
PaVRu2
1.0
4.593 0.000 0.000
2.297 3.978 0.000
2.297 1.326 3.751
Pa Ru V
1 2 1
Cartesian
0.000 0.000 0.000
2.297 1.326 0.938
6.890 3.978 2.813
4.593 2.652 1.875
```

Summary:
calculated volume	17.1	Å³ per atom
distance to the lowest polymorph of the same formula	0.196	eV per atom
energy of formation from the pure elements	-0.147	eV/atom

---

Compound: LiAcErPb
Source: Alexandria
Functional: PBE
Structure: relaxed

The structure in POSCAR format:
```
LiAcErPb
1.0
5.550 0.000 0.000
2.775 4.807 0.000
2.775 1.602 4.532
Ac Pb Er Li
1 1 1 1
Cartesian
2.775 1.602 1.133
0.000 0.000 0.000
8.326 4.807 3.399
5.550 3.205 2.266
```

Summary:
calculated volume	30.2	Å³ per atom
energy of formation from the pure elements	-0.215	eV/atom

---

Compound: Fe2CuMo
Source: Alexandria
Functional: PBE
Structure: relaxed

The structure in POSCAR format:
```
Fe2CuMo
1.0
-0.120 -8.374 -1.979
2.413 -8.171 -1.213
0.509 -8.570 0.592
Fe Mo Cu
2 1 1
Cartesian
2.794 -25.040 -2.592
0.713 -6.391 -0.662
1.410 -12.640 -1.309
2.088 -18.717 -1.938
```

Summary:
calculated volume	12.9	Å³ per atom
distance to the lowest polymorph of the same formula	0.113	eV per atom
energy of formation from the pure elements	0.262	eV/atom

---

Compound: HgW4Br2
Source: Alexandria
Functional: PBE
Structure: relaxed

The structure in POSCAR format:
```
HgW4Br2
1.0
4.974 0.000 0.000
0.000 4.974 0.000
2.487 2.487 6.585
Br W Hg
2 4 1
Cartesian
2.487 2.487 1.453
4.974 4.974 5.132
2.487 2.487 3.847
0.000 2.487 0.000
2.487 0.000 0.000
4.974 4.974 2.738
0.000 0.000 0.000
```

Summary:
calculated volume	23.3	Å³ per atom
E_form (uncorrected)	2.769	eV per atom

---

Computed values of theoretical density (unit: g/cm3) for the preceding records, in sequence: 5.92; 6.89; 10.03; 7.97; 13.23; 9.25; 9.65; 16.00; 10.56; 7.42; 5.29; 10.05; 10.40; 13.73; 7.45; 11.33; 11.73; 8.36; 8.72; 11.17.
Computed values of E (unit: eV per atom) for the preceding records, in sequence: -3.68; -6.18; -5.32; -1.78; -7.83; -5.63; -5.88; -6.87; -6.08; -3.55; -3.65; -3.36; -9.34; -6.55; -5.85; -6.10; -9.44; -3.79; -7.70; -5.15.